Record 1
# HPdI2N

Crystalline HPdI2N at its relaxed geometry (PBE-GGA, Alexandria via LeMat-Bulk).

Unit cell a=5.813 b=5.813 c=3.698 alpha=90.00 beta=90.00 gamma=90.00
Fractional coordinates of all 5 atoms:
I (0.000, 0.500, 0.000)
I (0.500, 0.000, 0.000)
H (0.500, 0.500, 0.500)
Pd (0.000, 0.000, 0.000)
N (0.000, 0.000, 0.500)

Computed properties:
The total energy is -14.8 eV for the cell shown. Its space group is No. 123.

=====

Record 2
# PmTh6Sc2

Crystalline PmTh6Sc2 at its relaxed geometry (PBE-GGA, Alexandria via LeMat-Bulk).

Unit cell a=9.023 b=7.022 c=7.970 alpha=116.14 beta=47.01 gamma=90.00
Fractional coordinates of all 9 atoms:
Pm (0.000, 0.000, 0.000)
Th (0.794, 0.171, 0.862)
Th (0.637, 0.325, 0.649)
Th (0.794, 0.691, 0.862)
Th (0.206, 0.829, 0.138)
Th (0.363, 0.675, 0.351)
Th (0.206, 0.309, 0.138)
Sc (0.271, 0.300, 0.601)
Sc (0.729, 0.700, 0.399)

Computed properties:
The total energy is -58.3 eV for the cell shown. Its space group is No. 12. Its formation energy is 38.5 kJ per mole of atoms.

=====

Record 3
# RbPt2Se2

Crystalline RbPt2Se2 at its relaxed geometry (PBE-GGA, Alexandria via LeMat-Bulk).

Unit cell a=4.622 b=4.622 c=6.869 alpha=70.34 beta=70.34 gamma=90.00
Fractional coordinates of all 5 atoms:
Se (0.340, 0.340, 0.321)
Se (0.660, 0.660, 0.679)
Rb (0.000, 0.000, 0.000)
Pt (0.750, 0.250, 0.500)
Pt (0.250, 0.750, 0.500)

Computed properties:
The total energy is -21.4 eV for the cell shown. Its space group is No. 139. The formation energy without anion corrections is -0.2764 eV per atom.

=====

Record 4
# Rb2Mn2Te3

Crystalline Rb2Mn2Te3 at its relaxed geometry (PBE-GGA, Alexandria via LeMat-Bulk).

Unit cell a=7.813 b=12.287 c=12.287 alpha=83.04 beta=70.86 gamma=70.86
Fractional coordinates of all 28 atoms:
Rb (0.860, 0.015, 0.194)
Rb (0.360, 0.194, 0.015)
Rb (0.750, 0.289, 0.711)
Rb (0.750, 0.562, 0.438)
Rb (0.250, 0.438, 0.562)
Rb (0.250, 0.711, 0.289)
Rb (0.640, 0.806, 0.985)
Rb (0.140, 0.985, 0.806)
Mn (0.651, 0.349, 0.200)
Mn (0.627, 0.075, 0.535)
Mn (0.151, 0.200, 0.349)
Mn (0.127, 0.535, 0.075)
Mn (0.873, 0.465, 0.925)
Mn (0.849, 0.800, 0.651)
Mn (0.373, 0.925, 0.465)
Mn (0.349, 0.651, 0.800)
Te (0.756, 0.253, 0.401)
Te (0.743, 0.552, 0.147)
Te (0.256, 0.401, 0.253)
Te (0.243, 0.147, 0.552)
Te (0.844, 0.248, 0.989)
Te (0.156, 0.752, 0.011)
Te (0.757, 0.853, 0.448)
Te (0.744, 0.599, 0.747)
Te (0.344, 0.989, 0.248)
Te (0.257, 0.448, 0.853)
Te (0.244, 0.747, 0.599)
Te (0.656, 0.011, 0.752)

Computed properties:
The total energy is -134.1 eV for the cell shown. Its space group is No. 15. The formation energy without anion corrections is -0.5474 eV per atom.

=====

no.,total magnetization (μB per cell)
1,0.8
2,0.0
3,0.0
4,40.0